# 1
# CoTeW2 | the Alexandria database | GGA-PBE | optimized geometry
data_CoTeW2
_chemical_formula_sum 'Co1 Te1 W2'
_space_group_name_H-M_alt 'P 1 m 1'
_space_group_IT_number 6
_cell_length_a 2.993
_cell_length_b 4.191
_cell_length_c 5.308
_cell_angle_alpha 90.00
_cell_angle_beta 103.60
_cell_angle_gamma 90.00
loop_
_space_group_symop_operation_xyz
'x,y,z'
'x,-y,z'
loop_
_atom_site_label
_atom_site_type_symbol
_atom_site_fract_x
_atom_site_fract_y
_atom_site_fract_z
_atom_site_occupancy
Co1 Co 0.000 0.000 0.000 1
Te1 Te 0.089 0.500 0.243 1
W1 W 0.404 0.500 0.769 1
W2 W 0.669 0.000 0.513 1
# * formation energy (no corrections): 0.63 eV/atom
# * DOS(E_F): 3.451 states/eV per cell
# * total magnetization: 0.37 μB per cell
# * total energy: -0.309 Ha/atom

---

# 2
# NdZn2Ag4 | the Alexandria database | GGA-PBE | optimized geometry
data_NdZn2Ag4
_chemical_formula_sum 'Nd2 Zn4 Ag8'
_space_group_name_H-M_alt 'I 4/m m m'
_space_group_IT_number 139
_space_group_name_Hall '-I 4 2'
_cell_length_a 7.090
_cell_length_b 7.090
_cell_length_c 5.360
_cell_angle_alpha 90.00
_cell_angle_beta 90.00
_cell_angle_gamma 90.00
loop_
_atom_site_label
_atom_site_type_symbol
_atom_site_fract_x
_atom_site_fract_y
_atom_site_fract_z
_atom_site_occupancy
Nd1 Nd 0.000 0.000 0.000 1
Zn1 Zn 0.000 0.500 0.250 1
Ag1 Ag 0.196 0.196 0.500 1
# * DOS(E_F): 6.407 states/eV per cell
# * total magnetization: 0.00 μB per cell
# * formation energy: -0.19 eV per atom
# * total energy: -0.105 Ha/atom

---

# 3
# NiPIr | the Alexandria database | GGA-PBE | optimized geometry
data_NiPIr
_chemical_formula_sum 'Ni4 P4 Ir4'
_space_group_name_H-M_alt 'F -4 3 m'
_space_group_IT_number 216
_space_group_name_Hall 'F -4 2 3'
_cell_length_a 5.548
_cell_length_b 5.548
_cell_length_c 5.548
_cell_angle_alpha 90.00
_cell_angle_beta 90.00
_cell_angle_gamma 90.00
loop_
_atom_site_label
_atom_site_type_symbol
_atom_site_fract_x
_atom_site_fract_y
_atom_site_fract_z
_atom_site_occupancy
Ni1 Ni 0.000 0.000 0.000 1
P1 P 0.250 0.250 0.250 1
Ir1 Ir 0.250 0.250 0.750 1
# * DOS(E_F): 15.719 states/eV per cell
# * total magnetization: 0.02 μB per cell
# * formation energy: 0.32 eV per atom
# * total energy: -0.234 Ha/atom